The following is a GGA-PBE calculation of crystalline Ag14HgPt at its relaxed geometry, from Alexandria.

Values from the calculation:
**Uncorrected energy**: -2.865 eV/atom
**E_form**: 0.026 eV per atom
**D(E_F)**: 5.371 states/eV/f.u.

a = 5.9075 Å, b = 5.9075 Å, c = 9.5849 Å
α = 90.00°, β = 90.00°, γ = 120.76°
Fractional coordinates of all 16 atoms:
Ag  0.2107  0.7893  0.0000
Ag  0.7101  0.2899  0.0000
Ag  0.0385  0.4593  0.5000
Ag  0.2114  0.2900  0.0000
Ag  0.5407  0.9615  0.5000
Ag  0.7100  0.7886  0.0000
Ag  0.3779  0.1273  0.7509
Ag  0.3779  0.1273  0.2491
Ag  0.8727  0.6221  0.7509
Ag  0.8727  0.6221  0.2491
Ag  0.3758  0.6242  0.7485
Ag  0.3758  0.6242  0.2515
Ag  0.8737  0.1263  0.7543
Ag  0.8737  0.1263  0.2457
Hg  0.0385  0.9615  0.5000
Pt  0.5398  0.4602  0.5000

=====

The following is a GGA-PBE calculation of crystalline PuAgHgPt at its relaxed geometry, from Alexandria.

Values from the calculation:
**Uncorrected energy**: -6.104 eV/atom
**E_form**: -0.222 eV per atom
**D(E_F)**: 13.183 states/eV/f.u.

a = 4.9306 Å, b = 4.9306 Å, c = 4.9306 Å
α = 60.00°, β = 60.00°, γ = 60.00°
Each line ends with the local moment (μB).
Fractional coordinates of all 4 atoms:
Ag  0.2500  0.2500  0.2500  0.03
Hg  0.5000  0.5000  0.5000  0.01
Pt  0.7500  0.7500  0.7500  -0.10
Pu  0.0000  0.0000  0.0000  5.20

=====

The following is a GGA-PBE calculation of crystalline Rb2AgHgPt at its relaxed geometry, from Alexandria.

Values from the calculation:
**Uncorrected energy**: -2.147 eV/atom
**E_form**: 0.079 eV per atom
**D(E_F)**: 4.540 states/eV/f.u.

a = 6.4393 Å, b = 6.4393 Å, c = 5.2453 Å
α = 90.00°, β = 90.00°, γ = 90.00°
Fractional coordinates of all 5 atoms:
Ag  0.5000  0.5000  0.5000
Rb  0.0000  0.5000  0.0000
Rb  0.5000  0.0000  0.0000
Hg  0.0000  0.0000  0.5000
Pt  0.0000  0.0000  0.0000

=====

The following is a GGA-PBE calculation of crystalline Rb4AgHg12Pt3 at its relaxed geometry, from Alexandria.

Values from the calculation:
**Uncorrected energy**: -1.649 eV/atom
**E_form**: -0.226 eV per atom
**D(E_F)**: 7.289 states/eV/f.u.

a = 9.4060 Å, b = 9.4060 Å, c = 9.4060 Å
α = 109.47°, β = 109.47°, γ = 109.47°
Fractional coordinates of all 20 atoms:
Rb  0.5000  0.5000  0.5000
Rb  0.0000  0.0000  0.5000
Rb  0.5000  0.0000  0.0000
Rb  0.0000  0.5000  0.0000
Ag  0.0000  0.0000  0.0000
Hg  0.2500  0.5000  0.7500
Hg  0.7465  0.0000  0.7465
Hg  0.2535  0.0000  0.2535
Hg  0.7500  0.5000  0.2500
Hg  0.7465  0.7465  0.0000
Hg  0.2535  0.2535  0.0000
Hg  0.7500  0.2500  0.5000
Hg  0.2500  0.7500  0.5000
Hg  0.5000  0.2500  0.7500
Hg  0.0000  0.7465  0.7465
Hg  0.5000  0.7500  0.2500
Hg  0.0000  0.2535  0.2535
Pt  0.5000  0.0000  0.5000
Pt  0.5000  0.5000  0.0000
Pt  0.0000  0.5000  0.5000

=====

The following is a GGA-PBE calculation of crystalline ReAg2HgPt at its relaxed geometry, from Alexandria.

Values from the calculation:
**Uncorrected energy**: -3.567 eV/atom
**E_form**: 1.332 eV per atom
**D(E_F)**: 5.532 states/eV/f.u.

a = 5.1892 Å, b = 4.7467 Å, c = 5.1892 Å
α = 90.00°, β = 90.00°, γ = 90.00°
Each line ends with the local moment (μB).
Fractional coordinates of all 5 atoms:
Re  0.0000  0.0000  0.0000  0.67
Ag  0.0000  0.0000  0.5000  0.07
Ag  0.5000  0.0000  0.0000  0.02
Hg  0.5000  0.5000  0.5000  0.01
Pt  0.0000  0.5000  0.0000  0.06

=====

The following is a GGA-PBE calculation of crystalline AgHg2PtRh at its relaxed geometry, from Alexandria.

Values from the calculation:
**Uncorrected energy**: -2.145 eV/atom
**E_form**: 1.224 eV per atom
**D(E_F)**: 5.748 states/eV/f.u.

a = 5.0648 Å, b = 5.0144 Å, c = 5.0648 Å
α = 90.00°, β = 90.00°, γ = 90.00°
Each line ends with the local moment (μB).
Fractional coordinates of all 5 atoms:
Ag  0.0000  0.0000  0.0000  -0.01
Rh  0.5000  0.5000  0.5000  0.84
Hg  0.0000  0.0000  0.5000  -0.01
Hg  0.5000  0.0000  0.0000  0.00
Pt  0.0000  0.5000  0.0000  -0.02

=====

The following is a GGA-PBE calculation of crystalline Sc4Ag2HgPt at its relaxed geometry, from Alexandria.

Values from the calculation:
**Uncorrected energy**: -5.250 eV/atom
**E_form**: -0.578 eV per atom
**D(E_F)**: 4.962 states/eV/f.u.

a = 4.8388 Å, b = 4.8388 Å, c = 8.3409 Å
α = 73.14°, β = 73.14°, γ = 60.00°
Fractional coordinates of all 8 atoms:
Sc  0.3816  0.3816  0.8553
Sc  0.8700  0.8700  0.3900
Sc  0.1300  0.1300  0.6100
Sc  0.6184  0.6184  0.1447
Ag  0.7450  0.7450  0.7651
Ag  0.2550  0.2550  0.2349
Hg  0.0000  0.0000  0.0000
Pt  0.5000  0.5000  0.5000

=====

The following is a GGA-PBE calculation of crystalline Sm4Ag2HgPt at its relaxed geometry, from Alexandria.

Values from the calculation:
**Uncorrected energy**: -4.419 eV/atom
**E_form**: -0.554 eV per atom
**D(E_F)**: 6.257 states/eV/f.u.

a = 5.2226 Å, b = 5.2226 Å, c = 9.0148 Å
α = 73.16°, β = 73.16°, γ = 60.00°
Fractional coordinates of all 8 atoms:
Sm  0.3819  0.3819  0.8542
Sm  0.8694  0.8694  0.3918
Sm  0.1306  0.1306  0.6082
Sm  0.6181  0.6181  0.1458
Ag  0.7427  0.7427  0.7718
Ag  0.2573  0.2573  0.2282
Hg  0.0000  0.0000  0.0000
Pt  0.5000  0.5000  0.5000

=====

The following is a GGA-PBE calculation of crystalline SmAgHgPt at its relaxed geometry, from Alexandria.

Values from the calculation:
**Uncorrected energy**: -3.964 eV/atom
**E_form**: -0.486 eV per atom
**D(E_F)**: 2.472 states/eV/f.u.

a = 4.9390 Å, b = 4.9390 Å, c = 4.9390 Å
α = 60.00°, β = 60.00°, γ = 60.00°
Fractional coordinates of all 4 atoms:
Ag  0.2500  0.2500  0.2500
Sm  0.0000  0.0000  0.0000
Hg  0.5000  0.5000  0.5000
Pt  0.7500  0.7500  0.7500

=====

The following is a GGA-PBE calculation of crystalline Sr2AgHgPt at its relaxed geometry, from Alexandria.

Values from the calculation:
**Uncorrected energy**: -2.846 eV/atom
**E_form**: -0.334 eV per atom
**D(E_F)**: 3.264 states/eV/f.u.

a = 5.7884 Å, b = 5.7884 Å, c = 5.1700 Å
α = 90.00°, β = 90.00°, γ = 90.00°
Fractional coordinates of all 5 atoms:
Ag  0.0000  0.0000  0.5000
Hg  0.5000  0.5000  0.5000
Pt  0.0000  0.0000  0.0000
Sr  0.0000  0.5000  0.0000
Sr  0.5000  0.0000  0.0000

=====

The following is a GGA-PBE calculation of crystalline Ta2AgHgPt at its relaxed geometry, from Alexandria.

Values from the calculation:
**Uncorrected energy**: -4.899 eV/atom
**E_form**: 1.681 eV per atom
**D(E_F)**: 5.534 states/eV/f.u.

a = 4.8838 Å, b = 4.8720 Å, c = 4.8838 Å
α = 90.00°, β = 90.00°, γ = 90.00°
Fractional coordinates of all 5 atoms:
Ag  0.0000  0.0000  0.0000
Hg  0.5000  0.5000  0.5000
Pt  0.0000  0.5000  0.0000
Ta  0.0000  0.0000  0.5000
Ta  0.5000  0.0000  0.0000

=====

The following is a GGA-PBE calculation of crystalline Tb4Ag2HgPt at its relaxed geometry, from Alexandria.

Values from the calculation:
**Uncorrected energy**: -4.421 eV/atom
**E_form**: -0.600 eV per atom
**D(E_F)**: 4.764 states/eV/f.u.

a = 5.1364 Å, b = 5.1364 Å, c = 8.8812 Å
α = 73.19°, β = 73.19°, γ = 60.00°
Fractional coordinates of all 8 atoms:
Tb  0.3816  0.3816  0.8551
Tb  0.8698  0.8698  0.3907
Tb  0.1302  0.1302  0.6093
Tb  0.6184  0.6184  0.1449
Ag  0.7435  0.7435  0.7695
Ag  0.2565  0.2565  0.2305
Hg  0.0000  0.0000  0.0000
Pt  0.5000  0.5000  0.5000

=====

The following is a GGA-PBE calculation of crystalline TbAgHgPt at its relaxed geometry, from Alexandria.

Values from the calculation:
**Uncorrected energy**: -3.969 eV/atom
**E_form**: -0.513 eV per atom
**D(E_F)**: 2.292 states/eV/f.u.

a = 4.8859 Å, b = 4.8859 Å, c = 4.8859 Å
α = 60.00°, β = 60.00°, γ = 60.00°
Fractional coordinates of all 4 atoms:
Ag  0.2500  0.2500  0.2500
Tb  0.0000  0.0000  0.0000
Hg  0.5000  0.5000  0.5000
Pt  0.7500  0.7500  0.7500

=====

The following is a GGA-PBE calculation of crystalline TlAgHgPt at its relaxed geometry, from Alexandria.

Values from the calculation:
**Uncorrected energy**: -2.782 eV/atom
**E_form**: 0.108 eV per atom
**D(E_F)**: 2.427 states/eV/f.u.

a = 4.8334 Å, b = 4.8334 Å, c = 4.8334 Å
α = 60.00°, β = 60.00°, γ = 60.00°
Fractional coordinates of all 4 atoms:
Ag  0.2500  0.2500  0.2500
Tl  0.0000  0.0000  0.0000
Hg  0.5000  0.5000  0.5000
Pt  0.7500  0.7500  0.7500

=====

The following is a GGA-PBE calculation of crystalline PuAg4Hg at its relaxed geometry, from Alexandria.

Values from the calculation:
**Uncorrected energy**: -4.332 eV/atom
**E_form**: 0.008 eV per atom
**D(E_F)**: 19.833 states/eV/f.u.

a = 5.6217 Å, b = 5.6217 Å, c = 5.6217 Å
α = 60.00°, β = 60.00°, γ = 60.00°
Each line ends with the local moment (μB).
Fractional coordinates of all 6 atoms:
Hg  0.0000  0.0000  0.0000  -0.02
Ag  0.6252  0.6252  0.1244  -0.01
Ag  0.6252  0.1244  0.6252  -0.01
Ag  0.6252  0.6252  0.6252  -0.01
Ag  0.1244  0.6252  0.6252  -0.01
Pu  0.2500  0.2500  0.2500  5.36

=====

The following is a GGA-PBE calculation of crystalline PuAg2Hg3 at its relaxed geometry, from Alexandria.

Values from the calculation:
**Uncorrected energy**: -3.457 eV/atom
**E_form**: 0.033 eV per atom
**D(E_F)**: 14.817 states/eV/f.u.

a = 6.3138 Å, b = 6.3138 Å, c = 8.9709 Å
α = 69.40°, β = 69.40°, γ = 60.00°
Each line ends with the local moment (μB).
Fractional coordinates of all 12 atoms:
Pu  0.7959  0.7959  0.6124  5.54
Pu  0.2041  0.2041  0.3876  5.54
Ag  0.0000  0.0000  0.0000  0.00
Ag  0.0000  0.5000  0.0000  0.02
Ag  0.5000  0.5000  0.0000  0.02
Ag  0.5000  0.0000  0.0000  0.02
Hg  0.2431  0.7332  0.2906  0.03
Hg  0.7332  0.2431  0.2906  0.03
Hg  0.7332  0.7332  0.2906  0.03
Hg  0.2668  0.7569  0.7094  0.03
Hg  0.7569  0.2668  0.7094  0.03
Hg  0.2668  0.2668  0.7094  0.03

=====

The following is a GGA-PBE calculation of crystalline PuAgHg4 at its relaxed geometry, from Alexandria.

Values from the calculation:
**Uncorrected energy**: -3.071 eV/atom
**Polymorph energy (0 for the lowest one)**: 0.017 eV per atom
**E_form**: -0.006 eV per atom
**D(E_F)**: 10.026 states/eV/f.u.

a = 3.5019 Å, b = 3.5034 Å, c = 11.5496 Å
α = 90.04°, β = 90.00°, γ = 90.00°
Each line ends with the local moment (μB).
Fractional coordinates of all 6 atoms:
Pu  0.0000  0.5000  0.0000  5.67
Ag  0.5000  0.0000  0.5000  0.01
Hg  0.0000  0.5001  0.3530  0.01
Hg  0.5000  0.0000  0.1841  0.02
Hg  0.0000  0.4999  0.6470  0.01
Hg  0.5000  0.0000  0.8159  0.02

=====

The following is a GGA-PBE calculation of crystalline PuAg2Hg2 at its relaxed geometry, from Alexandria.

Values from the calculation:
**Uncorrected energy**: -3.964 eV/atom
**Polymorph energy (0 for the lowest one)**: 0.124 eV per atom
**E_form**: 0.164 eV per atom
**D(E_F)**: 4.756 states/eV/f.u.

a = 8.7847 Å, b = 8.7847 Å, c = 3.2548 Å
α = 100.65°, β = 100.65°, γ = 108.27°
Fractional coordinates of all 10 atoms:
Pu  0.0564  0.9436  0.2500
Pu  0.9436  0.0564  0.7500
Ag  0.4169  0.5831  0.2500
Ag  0.7535  0.2465  0.2500
Ag  0.2465  0.7535  0.7500
Ag  0.5831  0.4169  0.7500
Hg  0.8719  0.6135  0.4919
Hg  0.3865  0.1281  0.0081
Hg  0.6135  0.8719  0.9919
Hg  0.1281  0.3865  0.5081

=====

The following is a GGA-PBE calculation of crystalline Pu2Ag2Hg at its relaxed geometry, from Alexandria.

Values from the calculation:
**Uncorrected energy**: -6.830 eV/atom
**E_form**: 0.104 eV per atom
**D(E_F)**: 14.220 states/eV/f.u.

a = 3.2725 Å, b = 5.8974 Å, c = 12.0483 Å
α = 90.23°, β = 90.00°, γ = 106.11°
Each line ends with the local moment (μB).
Fractional coordinates of all 10 atoms:
Pu  0.9395  0.8790  0.6549  5.56
Pu  0.1913  0.3827  0.0379  0.08
Pu  0.0605  0.1210  0.3451  5.56
Pu  0.8087  0.6173  0.9621  0.08
Ag  0.3390  0.6781  0.4465  0.01
Ag  0.4769  0.9538  0.1260  0.01
Ag  0.6610  0.3219  0.5535  0.01
Ag  0.5231  0.0462  0.8740  0.01
Hg  0.7869  0.5738  0.2455  0.01
Hg  0.2131  0.4262  0.7545  0.01

=====

The following is a GGA-PBE calculation of crystalline PuAg2Hg2 at its relaxed geometry, from Alexandria.

Values from the calculation:
**Uncorrected energy**: -4.088 eV/atom
**Polymorph energy (0 for the lowest one)**: 0.000 eV per atom
**E_form**: 0.040 eV per atom
**D(E_F)**: 9.005 states/eV/f.u.

a = 3.0702 Å, b = 8.5225 Å, c = 8.5225 Å
α = 90.00°, β = 90.00°, γ = 90.00°
Each line ends with the local moment (μB).
Fractional coordinates of all 10 atoms:
Pu  0.0000  0.0000  0.0000  5.87
Pu  0.0000  0.5000  0.5000  5.87
Ag  0.5000  0.3308  0.8308  0.01
Ag  0.5000  0.8308  0.6692  0.01
Ag  0.5000  0.6692  0.1692  0.01
Ag  0.5000  0.1692  0.3308  0.01
Hg  0.0000  0.1289  0.6289  0.01
Hg  0.0000  0.6289  0.8711  0.01
Hg  0.0000  0.8711  0.3711  0.01
Hg  0.0000  0.3711  0.1289  0.01